Record 1
DFT (PBE) results for a geometry-optimized Na2NbGeO6 structure.

Values from the calculation:
As for the space group: P4/mmm (123).

a b c (Å): 3.9533 5.4664 5.4664
angles (deg): 90.00 90.00 90.00
With the nearest neighbours (Å) after each atom.
Fractional positions:
Na 0.1446 0.5000 0.0000  12 O 2.73-2.77
Na 0.1446 0.0000 0.5000  12 O 2.73-2.77
Nb 0.6444 0.5000 0.5000  6 O 1.98-1.99
Ge 0.6448 0.0000 0.0000  6 O 1.87-1.98
O 0.6447 0.2422 0.2422  1 Ge 1.87, 1 Nb 1.99
O 0.6447 0.2422 0.7578  1 Ge 1.87, 1 Nb 1.99
O 0.1446 0.5000 0.5000  2 Nb 1.98
O 0.1448 0.0000 0.0000  2 Ge 1.98
O 0.6447 0.7578 0.7578  1 Ge 1.87, 1 Nb 1.99
O 0.6447 0.7578 0.2422  1 Ge 1.87, 1 Nb 1.99

=====

Record 2
DFT (PBE) results for a geometry-optimized NaNbGeO5 structure.

Values from the calculation:
As for the space group: P2_1/c (14).

a b c (Å): 9.0143 6.9429 7.6977
angles (deg): 64.17 90.00 90.00
With the nearest neighbours (Å) after each atom.
Fractional positions:
Na 0.5806 0.2410 0.7961  6 O 2.36-2.59
Na 0.4194 0.7590 0.2039  6 O 2.36-2.59
Na 0.0806 0.7590 0.7039  6 O 2.36-2.59
Na 0.9194 0.2410 0.2961  6 O 2.36-2.59
Nb 0.7385 0.7408 0.4780  4 O 1.83-2.02
Nb 0.2615 0.2592 0.5220  4 O 1.83-2.02
Nb 0.7615 0.7408 0.9780  4 O 1.83-2.02
Nb 0.2385 0.2592 0.0220  4 O 1.83-2.02
Ge 0.0636 0.7543 0.2481  4 O 1.77-1.78
Ge 0.4364 0.7543 0.7481  4 O 1.77-1.78
Ge 0.9364 0.2457 0.7519  4 O 1.77-1.78
Ge 0.5636 0.2457 0.2519  4 O 1.77-1.78
O 0.5478 0.8451 0.8879  1 Ge 1.78
O 0.0478 0.1549 0.6121  1 Ge 1.78
O 0.4522 0.1549 0.1121  1 Ge 1.78
O 0.9522 0.8451 0.3879  1 Ge 1.78
O 0.9540 0.6423 0.1243  1 Ge 1.77
O 0.4540 0.3577 0.3757  1 Ge 1.77
O 0.0460 0.3577 0.8757  1 Ge 1.77
O 0.5460 0.6423 0.6243  1 Ge 1.77
O 0.6827 0.0466 0.4145  1 Ge 1.77
O 0.1827 0.9534 0.0855  1 Ge 1.77
O 0.3173 0.9534 0.5855  1 Ge 1.77
O 0.8173 0.0466 0.9145  1 Ge 1.77
O 0.6785 0.7467 0.2483  1 Nb 1.83
O 0.1785 0.2533 0.2517  1 Nb 1.83
O 0.3215 0.2533 0.7517  1 Nb 1.83
O 0.8215 0.7467 0.7483  1 Nb 1.83
O 0.6901 0.4376 0.0940  1 Ge 1.77
O 0.1901 0.5624 0.4060  1 Ge 1.77
O 0.3099 0.5624 0.9060  1 Ge 1.77
O 0.8099 0.4376 0.5940  1 Ge 1.77

=====

Record 3
DFT (PBE) results for a geometry-optimized NaNbGeO5 structure.

Values from the calculation:
As for the space group: C2/c (15).

a b c (Å): 5.7208 5.7208 7.5506
angles (deg): 105.20 105.20 104.31
With the nearest neighbours (Å) after each atom.
Fractional positions:
Na 0.3246 0.6754 0.2500  5 O 2.35-2.61
Na 0.6754 0.3246 0.7500  5 O 2.35-2.61
Nb 0.0000 0.0000 0.5000  6 O 1.97-2.04
Nb 0.0000 0.0000 0.0000  6 O 1.97-2.04
Ge 0.6810 0.3190 0.2500  4 O 1.77
Ge 0.3190 0.6810 0.7500  4 O 1.77
O 0.0641 0.9359 0.2500  2 Nb 1.97
O 0.9359 0.0641 0.7500  2 Nb 1.97
O 0.8831 0.3000 0.1084  1 Ge 1.77
O 0.1169 0.7000 0.8916  1 Ge 1.77
O 0.7000 0.1169 0.3916  1 Ge 1.77
O 0.3000 0.8831 0.6083  1 Ge 1.77
O 0.7544 0.6377 0.4059  1 Ge 1.77
O 0.2456 0.3623 0.5941  1 Ge 1.77
O 0.3623 0.2456 0.0941  1 Ge 1.77
O 0.6377 0.7544 0.9059  1 Ge 1.77

=====

ΔE_f (raw) values (in eV/f.u.) by entry order: -18.54 -17.20 -17.15.